No. 1
## MgRu2 (PBE-GGA)

Data for a relaxed structure of MgRu2.

Geometry as POSCAR:
```
MgRu2
1.0
0.000 3.653 3.653
3.653 0.000 3.653
3.653 3.653 0.000
Mg Ru
2 4
Direct
0.125 0.125 0.125
0.875 0.875 0.875
0.000 0.500 0.500
0.500 0.000 0.500
0.500 0.500 0.000
0.500 0.500 0.500
```

Properties
The formation energy comes out at 167 meV/atom. As for the space group: Fd-3m. For the theoretical density, the calculation gives 7.7 g/cm3.

---

No. 2
## ReOs (PBE-GGA)

Data for a relaxed structure of ReOs.

Geometry as POSCAR:
```
ReOs
1.0
4.391 0.000 0.000
0.000 2.772 0.000
0.000 0.000 14.380
Re Os
6 6
Direct
0.000 0.000 0.000
0.000 0.000 0.332
0.000 0.500 0.500
0.000 0.500 0.832
0.500 0.000 0.557
0.500 0.500 0.057
0.000 0.000 0.667
0.000 0.500 0.167
0.500 0.000 0.222
0.500 0.000 0.889
0.500 0.500 0.389
0.500 0.500 0.722
```

Properties
The formation energy comes out at -73 meV/atom. The energy above the most stable polymorph in this dataset comes out at 0.020 eV/atom. As for the space group: Amm2. For the theoretical density, the calculation gives 21.4 g/cm3.